This record from Alexandria describes a relaxed structure of TbGaP2O8. The functional is PBE-GGA.

The structure in POSCAR format:
```
TbGaP2O8
1.0
5.085 0.000 0.000
-2.543 4.404 0.000
0.000 0.000 6.537
Tb Ga P O
1 1 2 8
direct
0.000 0.000 0.500
0.000 0.000 0.000
0.333 0.667 0.726
0.667 0.333 0.274
0.166 0.332 0.800
0.166 0.834 0.800
0.668 0.834 0.800
0.332 0.166 0.200
0.667 0.333 0.508
0.333 0.667 0.492
0.834 0.668 0.200
0.834 0.166 0.200
```

Magnetization, Bohr magnetons per cell: 0.00
Volume, Å³/atom: 12.20
Raw total energy, eV/atom: -7.294